Record 1
Computed, not measured: SnGeO3 after structural relaxation at the PBE-GGA level of DFT.

Summary:
For the energy relative to the elements, uncorrected, the calculation gives -116.8 kJ per mole of atoms.

Geometry as CIF:
```
data_SnGeO3
_chemical_formula_sum 'Sn1 Ge1 O3'
_space_group_name_H-M_alt 'P m -3 m'
_space_group_IT_number 221
_space_group_name_Hall '-P 4 2 3'
_cell_length_a 3.826
_cell_length_b 3.826
_cell_length_c 3.826
_cell_angle_alpha 90.00
_cell_angle_beta 90.00
_cell_angle_gamma 90.00
loop_
_atom_site_label
_atom_site_type_symbol
_atom_site_fract_x
_atom_site_fract_y
_atom_site_fract_z
Sn1 Sn 0.000 0.000 0.000
Ge1 Ge 0.500 0.500 0.500
O1 O 0.000 0.500 0.500
```

=====

Record 2
Computed, not measured: SnGeO3 after structural relaxation at the PBE-GGA level of DFT.

Summary:
For the energy relative to the elements, uncorrected, the calculation gives -144.8 kJ per mole of atoms.

Geometry as CIF:
```
data_SnGeO3
_chemical_formula_sum 'Sn6 Ge6 O18'
_space_group_name_H-M_alt 'P -1'
_space_group_IT_number 2
_space_group_name_Hall '-P 1'
_cell_length_a 7.291
_cell_length_b 9.401
_cell_length_c 9.405
_cell_angle_alpha 113.56
_cell_angle_beta 104.95
_cell_angle_gamma 104.99
loop_
_atom_site_label
_atom_site_type_symbol
_atom_site_fract_x
_atom_site_fract_y
_atom_site_fract_z
Sn1 Sn 0.007 0.319 0.286
Sn2 Sn 0.189 0.967 0.181
Sn3 Sn 0.278 0.786 0.467
Ge1 Ge 0.259 0.242 0.598
Ge2 Ge 0.339 0.099 0.856
Ge3 Ge 0.483 0.644 0.742
O1 O 0.030 0.251 0.487
O2 O 0.143 0.963 0.877
O3 O 0.217 0.198 0.758
O4 O 0.266 0.624 0.587
O5 O 0.279 0.236 0.249
O6 O 0.321 0.086 0.463
O7 O 0.458 0.988 0.737
O8 O 0.460 0.742 0.940
O9 O 0.481 0.440 0.698
```

=====

Record 3
Computed, not measured: SnGeO3 after structural relaxation at the PBE-GGA level of DFT.

Summary:
For the energy relative to the elements, uncorrected, the calculation gives -143.8 kJ per mole of atoms.

Geometry as CIF:
```
data_SnGeO3
_chemical_formula_sum 'Sn4 Ge4 O12'
_space_group_name_H-M_alt 'P 1 21/c 1'
_space_group_IT_number 14
_space_group_name_Hall '-P 2ybc'
_cell_length_a 7.104
_cell_length_b 9.642
_cell_length_c 5.906
_cell_angle_alpha 90.00
_cell_angle_beta 102.65
_cell_angle_gamma 90.00
loop_
_atom_site_label
_atom_site_type_symbol
_atom_site_fract_x
_atom_site_fract_y
_atom_site_fract_z
Sn1 Sn 0.132 0.069 0.283
Ge1 Ge 0.264 0.740 0.510
O1 O 0.090 0.624 0.965
O2 O 0.143 0.578 0.475
O3 O 0.410 0.743 0.799
```

=====

Q: The highest energy relative to the elements, uncorrected belongs to which entry?
A: number 1